1.
A plane-wave DFT calculation with GGA-PBE was carried out for a geometry-optimized PmTmSiIr structure.

Summary:
Offset from the most stable computed form   0.274 eV/atom
Final energy   -25.73 eV per cell
ΔE_f (raw)   -215 kJ/mol of formula units
Magnetization   0.00 μB per formula unit
DOS(E_F)   2.622 states/eV/f.u.

Unit cell a=4.961 b=4.961 c=4.961 alpha=60.00 beta=60.00 gamma=60.00
Fractional positions:
Pm1 0.000 0.000 0.000
Tm1 0.500 0.500 0.500
Si1 0.250 0.250 0.250
Ir1 0.750 0.750 0.750

=====

2.
A plane-wave DFT calculation with GGA-PBE was carried out for a geometry-optimized Pm2TmSi3Ir4 structure.

Summary:
Final energy   -75.40 eV per cell
ΔE_f (raw)   -937 kJ/mol of formula units
Magnetization   0.00 μB per formula unit
DOS(E_F)   5.058 states/eV/f.u.

Unit cell a=4.139 b=4.139 c=10.896 alpha=90.00 beta=90.00 gamma=90.00
Fractional positions:
Pm1 0.000 0.500 0.233
Pm2 0.500 0.000 0.767
Tm1 0.000 0.000 0.500
Si1 0.000 0.500 0.881
Si2 0.500 0.000 0.119
Si3 0.500 0.500 0.500
Ir1 0.000 0.000 0.000
Ir2 0.000 0.500 0.660
Ir3 0.500 0.000 0.340
Ir4 0.500 0.500 0.000